VASP calculation (PBE) on a relaxed K2Rb3Cd2Au4 crystal.

a b c (Å): 5.0536 5.0536 18.9126
angles (deg): 90.00 90.00 120.00
Fractional positions:
Rb: 0.0000 0.0000 0.2464
Rb: 0.0000 0.0000 0.0000
Rb: 0.0000 0.0000 0.7536
Au: 0.6667 0.3333 0.1254
Au: 0.3333 0.6667 0.8746
Au: 0.3333 0.6667 0.3590
Au: 0.6667 0.3333 0.6410
K: 0.3333 0.6667 0.5698
K: 0.6667 0.3333 0.4302
Cd: 0.3333 0.6667 0.1262
Cd: 0.6667 0.3333 0.8738

Calculated values
energy: -2.03 eV/atom
energy relative to the elements: -4.77 kcal/mol of atoms